The following is a DFT calculation (PBE) of an optimized crystal structure of TiBi3Os.

## Properties
Excess energy over the best structure of this formula in the dataset, meV/atom: 278.6
Crystal system: cubic
Density of states at the Fermi level, states/eV per cell: 5.0
SG: Pm-3m (221)
Formation enthalpy at 0 K, meV per atom: 1324

Lattice parameters (Å, degrees): 5.3001 5.3001 5.3001 90.00 90.00 90.00
Each line ends with the local moment (μB).
Atoms (fractional coordinates):
Os 0.5000 0.5000 0.5000  2.43
Bi 0.0000 0.5000 0.0000  -0.05
Bi 0.0000 0.0000 0.5000  -0.09
Bi 0.5000 0.0000 0.0000  -0.06
Ti 0.0000 0.0000 0.0000  0.42